# SiNi5 SCAN single point on PBEsol structure
data_SiNi5
_chemical_formula_sum 'Si2 Ni10'
_space_group_name_H-M_alt 'A m m 2'
_space_group_IT_number 38
_cell_length_a 3.975
_cell_length_b 2.539
_cell_length_c 12.358
_cell_angle_alpha 90.00
_cell_angle_beta 90.00
_cell_angle_gamma 90.00
loop_
_space_group_symop_operation_xyz
'x,y,z'
'-x,-y,z'
'-x,y,z'
'x,-y,z'
'x,y+1/2,z+1/2'
'-x,-y+1/2,z+1/2'
'-x,y+1/2,z+1/2'
'x,-y+1/2,z+1/2'
loop_
_atom_site_label
_atom_site_type_symbol
_atom_site_fract_x
_atom_site_fract_y
_atom_site_fract_z
_atom_site_occupancy
Si1 Si 0.000 0.000 0.000 1
Ni1 Ni 0.000 0.000 0.337 1
Ni2 Ni 0.000 0.000 0.662 1
Ni3 Ni 0.500 0.000 0.120 1
Ni4 Ni 0.500 0.000 0.452 1
Ni5 Ni 0.500 0.000 0.784 1
# formation energy from raw total energies	-1.154	eV/f.u.
# M_tot	3.93	Bohr magnetons per cell
# DOS at the Fermi energy	6.177	states/eV/f.u.

# Si2Ni SCAN single point on PBEsol structure
data_Si2Ni
_chemical_formula_sum 'Si8 Ni4'
_space_group_name_H-M_alt 'I 4/m c m'
_space_group_IT_number 140
_space_group_name_Hall '-I 4 2c'
_cell_length_a 5.496
_cell_length_b 5.496
_cell_length_c 4.830
_cell_angle_alpha 90.00
_cell_angle_beta 90.00
_cell_angle_gamma 90.00
loop_
_atom_site_label
_atom_site_type_symbol
_atom_site_fract_x
_atom_site_fract_y
_atom_site_fract_z
_atom_site_occupancy
Si1 Si 0.156 0.344 0.000 1
Ni1 Ni 0.000 0.000 0.250 1
# formation energy from raw total energies	-0.646	eV/f.u.
# M_tot	0.00	Bohr magnetons per cell
# DOS at the Fermi energy	0.964	states/eV/f.u.

# Si2Ni SCAN single point on PBEsol structure
data_Si2Ni
_chemical_formula_sum 'Si8 Ni4'
_space_group_name_H-M_alt 'F m -3 m'
_space_group_IT_number 225
_space_group_name_Hall '-F 4 2 3'
_cell_length_a 5.395
_cell_length_b 5.395
_cell_length_c 5.395
_cell_angle_alpha 90.00
_cell_angle_beta 90.00
_cell_angle_gamma 90.00
loop_
_atom_site_label
_atom_site_type_symbol
_atom_site_fract_x
_atom_site_fract_y
_atom_site_fract_z
_atom_site_occupancy
Si1 Si 0.250 0.250 0.250 1
Ni1 Ni 0.000 0.000 0.000 1
# formation energy from raw total energies	-1.037	eV/f.u.
# M_tot	0.00	Bohr magnetons per cell
# DOS at the Fermi energy	0.809	states/eV/f.u.

# SiNi2 SCAN single point on PBEsol structure
data_SiNi2
_chemical_formula_sum 'Si4 Ni8'
_space_group_name_H-M_alt 'C m c m'
_space_group_IT_number 63
_space_group_name_Hall '-C 2c 2'
_cell_length_a 3.317
_cell_length_b 10.693
_cell_length_c 3.578
_cell_angle_alpha 90.00
_cell_angle_beta 90.00
_cell_angle_gamma 90.00
loop_
_atom_site_label
_atom_site_type_symbol
_atom_site_fract_x
_atom_site_fract_y
_atom_site_fract_z
_atom_site_occupancy
Si1 Si 0.000 0.099 0.250 1
Ni1 Ni 0.000 0.254 0.750 1
Ni2 Ni 0.000 0.425 0.250 1
# formation energy from raw total energies	-1.429	eV/f.u.
# M_tot	0.00	Bohr magnetons per cell
# DOS at the Fermi energy	1.560	states/eV/f.u.

# Si2Ni3 SCAN single point on PBEsol structure
data_Si2Ni3
_chemical_formula_sum 'Si2 Ni3'
_space_group_name_H-M_alt 'P -3 m 1'
_space_group_IT_number 164
_space_group_name_Hall '-P 3 2"'
_cell_length_a 3.7931
_cell_length_b 3.7931
_cell_length_c 4.7071
_cell_angle_alpha 90.00
_cell_angle_beta 90.00
_cell_angle_gamma 120.00
loop_
_atom_site_label
_atom_site_type_symbol
_atom_site_fract_x
_atom_site_fract_y
_atom_site_fract_z
_atom_site_occupancy
Si1 Si 0.3333 0.6667 0.3155 1
Ni1 Ni 0.0000 0.0000 0.5000 1
Ni2 Ni 0.3333 0.6667 0.8291 1
# formation energy from raw total energies	-2.097	eV/f.u.
# M_tot	0.00	Bohr magnetons per cell
# DOS at the Fermi energy	3.103	states/eV/f.u.

# SiNi3 SCAN single point on PBEsol structure
data_SiNi3
_chemical_formula_sum 'Si2 Ni6'
_space_group_name_H-M_alt 'C m m m'
_space_group_IT_number 65
_space_group_name_Hall '-C 2 2'
_cell_length_a 4.872
_cell_length_b 6.598
_cell_length_c 2.604
_cell_angle_alpha 90.00
_cell_angle_beta 90.00
_cell_angle_gamma 90.00
loop_
_atom_site_label
_atom_site_type_symbol
_atom_site_fract_x
_atom_site_fract_y
_atom_site_fract_z
_atom_site_occupancy
Si1 Si 0.000 0.000 0.000 1
Ni1 Ni 0.000 0.500 0.000 1
Ni2 Ni 0.250 0.250 0.500 1
# formation energy from raw total energies	-1.295	eV/f.u.
# M_tot	0.01	Bohr magnetons per cell
# DOS at the Fermi energy	3.405	states/eV/f.u.

Look up the M_tot of the fourth one. 0.00 Bohr magnetons per cell

Which value of DOS at the Fermi energy does entry 1 give? 6.177 states/eV/f.u.

DOS at the Fermi energy of number 2 (Si2Ni)? 0.964 states/eV/f.u.